Density functional theory data (SCAN) for a crystal of CaPdO2 relaxed with PBEsol.

Geometry as POSCAR:
```
CaPdO2
1.0
0.000 2.842 2.842
2.842 0.000 2.842
2.842 2.842 0.000
Ca Pd O
1 1 2
direct
0.000 0.000 0.000
0.500 0.500 0.500
0.250 0.250 0.250
0.750 0.750 0.750
```

Computed properties:
density of states at the Fermi level = 1.12 states/eV/cell
uncorrected formation energy = -1.321 eV/atom
DFT total energy = -15.0463 eV/atom
SG = Fm-3m, No. 225